Hf6SO: relaxed, PBE. Values from VASP.

Structure (Quantum ESPRESSO input):
```
&SYSTEM
  ibrav = 0, nat = 8, ntyp = 3
/
ATOMIC_SPECIES
Hf 178.49 Hf.upf
S 32.06 S.upf
O 16.00 O.upf
ATOMIC_POSITIONS angstrom
Hf -0.9913 -1.7103 6.6214
Hf -1.9768 0.0033 9.5295
Hf -0.9855 1.7136 6.6214
Hf 0.9855 -1.7136 9.5295
Hf 1.9768 -0.0033 6.6214
Hf 0.9913 1.7103 9.5295
S 0.0000 0.0000 8.0754
O 0.0000 0.0000 0.0000
CELL_PARAMETERS angstrom
2.8610 1.6518 5.3836
-2.8610 1.6518 5.3836
0.0000 -3.3036 5.3836
```

- VASP energy: -9.5883 eV/atom
- Space-group type: R-3
- Formation energy from raw total energies: -7.90 eV/f.u.

DyHo2AlN: relaxed, PBE. Values from VASP.

Structure (Quantum ESPRESSO input):
```
&SYSTEM
  ibrav = 0, nat = 5, ntyp = 4
/
ATOMIC_SPECIES
Dy 162.50 Dy.upf
Ho 164.93 Ho.upf
Al 26.98 Al.upf
N 14.01 N.upf
ATOMIC_POSITIONS angstrom
Dy 0.0000 0.0000 0.0000
Ho 0.0000 2.3731 2.3869
Ho 2.3731 0.0000 2.3869
Al 2.3731 2.3731 0.0000
N 0.0000 0.0000 2.3869
CELL_PARAMETERS angstrom
4.7461 0.0000 0.0000
0.0000 4.7461 0.0000
0.0000 0.0000 4.7737
```

- VASP energy: -6.0932 eV/atom
- Space-group type: P4/mmm
- Formation energy from raw total energies: -4.64 eV/f.u.

LaPrZnCu: relaxed, PBE. Values from VASP.

Structure (Quantum ESPRESSO input):
```
&SYSTEM
  ibrav = 0, nat = 4, ntyp = 4
/
ATOMIC_SPECIES
La 138.91 La.upf
Pr 140.91 Pr.upf
Zn 65.41 Zn.upf
Cu 63.55 Cu.upf
ATOMIC_POSITIONS angstrom
La 0.0000 0.0000 0.0000
Pr 0.0000 0.0000 3.7711
Zn 1.8514 1.8514 1.9253
Cu 1.8514 1.8514 5.5177
CELL_PARAMETERS angstrom
3.7028 0.0000 0.0000
0.0000 3.7028 0.0000
0.0000 0.0000 7.3468
```

- VASP energy: -3.9815 eV/atom
- Space-group type: P4mm
- Energy above the lowest structure with this stoichiometry: 0 meV per atom
- Energy of formation: -0.85 eV/f.u.

CuSbMo2: relaxed, PBE. Values from VASP.

Structure (Quantum ESPRESSO input):
```
&SYSTEM
  ibrav = 0, nat = 4, ntyp = 3
/
ATOMIC_SPECIES
Cu 63.55 Cu.upf
Sb 121.76 Sb.upf
Mo 95.94 Mo.upf
ATOMIC_POSITIONS angstrom
Cu 0.0000 0.0000 0.0000
Sb 0.9535 0.0000 2.6372
Mo 0.0833 2.2026 4.0755
Mo 1.8238 2.2026 1.1989
CELL_PARAMETERS angstrom
2.8837 0.0000 0.0000
0.0000 4.4052 0.0000
-0.9766 0.0000 5.2744
```

- VASP energy: -7.0688 eV/atom
- Space-group type: P2/m
- Formation energy from raw total energies: 1.61 eV/f.u.

RuSe: relaxed, PBE. Values from VASP.

Structure (Quantum ESPRESSO input):
```
&SYSTEM
  ibrav = 0, nat = 4, ntyp = 2
/
ATOMIC_SPECIES
Ru 101.07 Ru.upf
Se 78.96 Se.upf
ATOMIC_POSITIONS angstrom
Ru 0.7490 0.7490 1.0550
Ru 2.2471 2.2471 7.1409
Se 0.7490 0.7490 5.8176
Se 2.2471 2.2471 2.3783
CELL_PARAMETERS angstrom
2.9961 0.0000 0.0000
0.0000 2.9961 0.0000
0.0000 0.0000 8.1959
```

- VASP energy: -6.3974 eV/atom
- Space-group type: P4/nmm
- Formation energy from raw total energies: -0.03 eV/f.u.

Li2MgAs: relaxed, PBE. Values from VASP.

Structure (Quantum ESPRESSO input):
```
&SYSTEM
  ibrav = 0, nat = 8, ntyp = 3
/
ATOMIC_SPECIES
Li 6.94 Li.upf
Mg 24.30 Mg.upf
As 74.92 As.upf
ATOMIC_POSITIONS angstrom
Li 0.0000 0.0000 0.0000
Li 1.6027 0.0000 4.3637
Li 4.3303 1.5287 0.0000
Li 5.9330 1.5287 4.3637
Mg 3.8904 0.0000 2.6706
Mg 8.2207 1.5287 2.6706
As 1.9509 1.5287 1.1444
As 6.2812 0.0000 1.1444
CELL_PARAMETERS angstrom
8.6605 0.0000 0.0000
0.0000 3.0575 0.0000
-0.6099 0.0000 5.5396
```

- VASP energy: -2.8321 eV/atom
- Space-group type: Cm
- Energy above the lowest structure with this stoichiometry: 221 meV per atom
- Energy of formation: -1.26 eV/f.u.

LaSi2Pd: relaxed, PBE. Values from VASP.

Structure (Quantum ESPRESSO input):
```
&SYSTEM
  ibrav = 0, nat = 16, ntyp = 3
/
ATOMIC_SPECIES
La 138.91 La.upf
Si 28.09 Si.upf
Pd 106.42 Pd.upf
ATOMIC_POSITIONS angstrom
La 0.0000 0.0000 3.3460
La 0.0000 2.1471 0.0000
La 0.0000 6.5611 0.0000
La 0.0000 0.0000 13.0343
Si 2.2189 0.0000 1.1795
Si 2.2189 -1.2588 5.0316
Si 0.0000 0.0000 6.9822
Si 2.2189 1.2588 5.0316
Si 0.0000 3.0953 3.1585
Si 0.0000 0.0000 9.3980
Si 0.0000 5.6129 3.1585
Si 0.0000 4.3541 7.0106
Pd 2.2189 2.2190 -2.4454
Pd 2.2189 2.2190 2.4454
Pd 0.0000 2.1351 5.7447
Pd 0.0000 2.1351 10.6356
CELL_PARAMETERS angstrom
-2.2189 4.3541 8.1901
2.2189 -4.3541 8.1901
2.2189 4.3541 -8.1901
```

- VASP energy: -6.0430 eV/atom
- Space-group type: Immm
- Formation energy from raw total energies: -3.21 eV/f.u.

NaSbSI2: relaxed, PBE. Values from VASP.

Structure (Quantum ESPRESSO input):
```
&SYSTEM
  ibrav = 0, nat = 5, ntyp = 4
/
ATOMIC_SPECIES
Na 22.99 Na.upf
Sb 121.76 Sb.upf
S 32.06 S.upf
I 126.90 I.upf
ATOMIC_POSITIONS angstrom
Na 0.0000 0.0000 0.0000
Sb 0.0000 0.0000 3.0227
S 2.7314 2.7314 3.0227
I 0.0000 2.7314 0.0000
I 2.7314 0.0000 0.0000
CELL_PARAMETERS angstrom
5.4628 0.0000 0.0000
0.0000 5.4628 0.0000
0.0000 0.0000 6.0454
```

- VASP energy: -1.8388 eV/atom
- Space-group type: P4/mmm
- Formation energy from raw total energies: 3.48 eV/f.u.
- Energy above the lowest structure with this stoichiometry: 651 meV per atom

Repeat the fifth record exactly.
RuSe: relaxed, PBE. Values from VASP.

Structure (Quantum ESPRESSO input):
```
&SYSTEM
  ibrav = 0, nat = 4, ntyp = 2
/
ATOMIC_SPECIES
Ru 101.07 Ru.upf
Se 78.96 Se.upf
ATOMIC_POSITIONS angstrom
Ru 0.7490 0.7490 1.0550
Ru 2.2471 2.2471 7.1409
Se 0.7490 0.7490 5.8176
Se 2.2471 2.2471 2.3783
CELL_PARAMETERS angstrom
2.9961 0.0000 0.0000
0.0000 2.9961 0.0000
0.0000 0.0000 8.1959
```

- VASP energy: -6.3974 eV/atom
- Space-group type: P4/nmm
- Formation energy from raw total energies: -0.03 eV/f.u.

Look up the VASP energy of the second one.
-6.0932 eV/atom

Which value of VASP energy does entry 1 give?
-9.5883 eV/atom

Among the records above, which one has the lowest VASP energy?
Hf6SO